Record 1
{"formula": "Tb3Pm6Er2Tl", "functional": "PBE", "state": "optimized geometry", "lattice_angstrom": [[-1.082, -5.265, 3.101], [4.409, 3.911, 1.940], [-8.897, 5.943, 4.887]], "species": ["Pm", "Pm", "Pm", "Pm", "Pm", "Pm", "Tb", "Tb", "Tb", "Er", "Er", "Tl"], "frac_coords": [[0.590, 0.919, 0.753], [0.081, 0.410, 0.247], [0.753, 0.753, 0.248], [0.247, 0.247, 0.752], [0.919, 0.590, 0.753], [0.410, 0.081, 0.247], [0.500, 0.500, 0.500], [0.168, 0.832, 0.500], [0.832, 0.168, 0.500], [0.666, 0.334, 0.000], [0.334, 0.666, 0.000], [0.000, 0.000, 0.000]], "ef_ev_per_atom": -0.01, "mass_density_g_cm3": 8.13}

***

Record 2
{"formula": "TbPmEr2Tl4", "functional": "PBE", "state": "optimized geometry", "lattice_angstrom": [[5.381, 0.000, 0.000], [2.691, 4.660, 0.000], [2.691, 1.553, 8.812]], "species": ["Tb", "Tl", "Tl", "Tl", "Tl", "Er", "Er", "Pm"], "frac_coords": [[0.500, 0.500, 0.500], [0.376, 0.376, 0.872], [0.126, 0.126, 0.622], [0.624, 0.624, 0.128], [0.874, 0.874, 0.378], [0.250, 0.250, 0.251], [0.750, 0.750, 0.749], [0.000, 0.000, 0.000]], "ef_ev_per_atom": -0.34, "mass_density_g_cm3": 10.94}

***

Record 3
{"formula": "TbPmEr2Tl2", "functional": "PBE", "state": "optimized geometry", "lattice_angstrom": [[5.121, 0.000, 0.000], [0.000, 6.797, 0.000], [0.000, 0.000, 10.029]], "species": ["Tl", "Tl", "Tl", "Tl", "Er", "Er", "Er", "Er", "Pm", "Pm", "Tb", "Tb"], "frac_coords": [[0.500, 0.718, 0.641], [0.000, 0.298, 0.869], [0.500, 0.218, 0.359], [0.000, 0.798, 0.131], [0.500, 0.051, 0.042], [0.000, 0.334, 0.182], [0.500, 0.551, 0.958], [0.000, 0.834, 0.818], [0.000, 0.960, 0.459], [0.000, 0.460, 0.541], [0.500, 0.684, 0.309], [0.500, 0.184, 0.691]], "ef_ev_per_atom": -0.27, "mass_density_g_cm3": 9.96}

***

Record 4
{"formula": "TbPm2ErTl4", "functional": "PBE", "state": "optimized geometry", "lattice_angstrom": [[-0.705, 1.955, 5.006], [3.804, -0.791, 3.779], [4.990, 7.957, 0.529]], "species": ["Pm", "Pm", "Tl", "Tl", "Tl", "Tl", "Tb", "Er"], "frac_coords": [[0.250, 0.250, 0.251], [0.750, 0.750, 0.749], [0.875, 0.875, 0.376], [0.625, 0.625, 0.126], [0.125, 0.125, 0.624], [0.375, 0.375, 0.874], [0.000, 0.000, 0.000], [0.500, 0.500, 0.500]], "ef_ev_per_atom": -0.36, "mass_density_g_cm3": 10.55}

***

Record 5
{"formula": "Tb4PmEr2Tm2", "functional": "PBE", "state": "optimized geometry", "lattice_angstrom": [[3.574, 0.000, 0.000], [-1.787, 9.264, -0.501], [0.000, -3.654, 8.764]], "species": ["Tb", "Tb", "Tb", "Tb", "Er", "Er", "Tm", "Tm", "Pm"], "frac_coords": [[0.519, 0.037, 0.336], [0.186, 0.371, 0.334], [0.481, 0.963, 0.664], [0.814, 0.629, 0.666], [0.852, 0.703, 0.332], [0.148, 0.297, 0.668], [0.668, 0.336, 0.000], [0.332, 0.664, 0.000], [0.000, 0.000, 0.000]], "ef_ev_per_atom": 0.00, "mass_density_g_cm3": 8.51}

***

Record 6
{"formula": "Tb2Pm2Er4Tm", "functional": "PBE", "state": "optimized geometry", "lattice_angstrom": [[-2.526, -0.730, -2.427], [6.619, -6.331, -2.347], [-5.904, -2.697, 6.954]], "species": ["Tm", "Pm", "Pm", "Tb", "Tb", "Er", "Er", "Er", "Er"], "frac_coords": [[0.000, 0.000, 0.000], [0.665, 0.330, 0.000], [0.335, 0.670, 0.000], [0.853, 0.706, 0.337], [0.147, 0.294, 0.663], [0.481, 0.961, 0.666], [0.815, 0.630, 0.664], [0.185, 0.370, 0.336], [0.519, 0.039, 0.334]], "ef_ev_per_atom": 0.00, "mass_density_g_cm3": 8.43}

***

Record 7
{"formula": "TbPm2Er4Tm", "functional": "PBE", "state": "optimized geometry", "lattice_angstrom": [[7.084, 0.296, -0.191], [-0.570, 11.873, -2.992], [-2.978, -8.622, 8.201]], "species": ["Er", "Er", "Er", "Er", "Er", "Er", "Er", "Er", "Tm", "Tm", "Pm", "Pm", "Pm", "Pm", "Tb", "Tb"], "frac_coords": [[0.750, 0.751, 0.998], [0.250, 0.748, 0.501], [0.751, 0.249, 0.001], [0.250, 0.249, 0.002], [0.249, 0.751, 0.999], [0.750, 0.749, 0.501], [0.750, 0.252, 0.499], [0.250, 0.251, 0.499], [0.000, 0.000, 0.000], [0.500, 0.500, 0.500], [0.500, 0.000, 0.000], [0.500, 0.500, 0.000], [0.500, 0.000, 0.500], [0.000, 0.000, 0.500], [0.000, 0.500, 0.000], [0.000, 0.500, 0.500]], "ef_ev_per_atom": 0.02, "mass_density_g_cm3": 8.49}

***

Record 8
{"formula": "Tb6Pm3Er2Tm", "functional": "PBE", "state": "optimized geometry", "lattice_angstrom": [[-3.965, -3.047, 3.631], [-0.883, 0.123, -6.115], [8.008, -8.686, -0.294]], "species": ["Er", "Er", "Tb", "Tb", "Tb", "Tb", "Tb", "Tb", "Pm", "Pm", "Pm", "Tm"], "frac_coords": [[0.333, 0.667, 0.000], [0.667, 0.333, 0.000], [0.415, 0.082, 0.246], [0.918, 0.585, 0.754], [0.251, 0.251, 0.754], [0.082, 0.415, 0.246], [0.585, 0.918, 0.754], [0.749, 0.749, 0.246], [0.167, 0.833, 0.500], [0.500, 0.500, 0.500], [0.833, 0.167, 0.500], [0.000, 0.000, 0.000]], "ef_ev_per_atom": 0.02, "mass_density_g_cm3": 8.16}

***

Repeat the first record exactly.
{"formula": "Tb3Pm6Er2Tl", "functional": "PBE", "state": "optimized geometry", "lattice_angstrom": [[-1.082, -5.265, 3.101], [4.409, 3.911, 1.940], [-8.897, 5.943, 4.887]], "species": ["Pm", "Pm", "Pm", "Pm", "Pm", "Pm", "Tb", "Tb", "Tb", "Er", "Er", "Tl"], "frac_coords": [[0.590, 0.919, 0.753], [0.081, 0.410, 0.247], [0.753, 0.753, 0.248], [0.247, 0.247, 0.752], [0.919, 0.590, 0.753], [0.410, 0.081, 0.247], [0.500, 0.500, 0.500], [0.168, 0.832, 0.500], [0.832, 0.168, 0.500], [0.666, 0.334, 0.000], [0.334, 0.666, 0.000], [0.000, 0.000, 0.000]], "ef_ev_per_atom": -0.01, "mass_density_g_cm3": 8.13}

***

Copy entry 7 word for word.
{"formula": "TbPm2Er4Tm", "functional": "PBE", "state": "optimized geometry", "lattice_angstrom": [[7.084, 0.296, -0.191], [-0.570, 11.873, -2.992], [-2.978, -8.622, 8.201]], "species": ["Er", "Er", "Er", "Er", "Er", "Er", "Er", "Er", "Tm", "Tm", "Pm", "Pm", "Pm", "Pm", "Tb", "Tb"], "frac_coords": [[0.750, 0.751, 0.998], [0.250, 0.748, 0.501], [0.751, 0.249, 0.001], [0.250, 0.249, 0.002], [0.249, 0.751, 0.999], [0.750, 0.749, 0.501], [0.750, 0.252, 0.499], [0.250, 0.251, 0.499], [0.000, 0.000, 0.000], [0.500, 0.500, 0.500], [0.500, 0.000, 0.000], [0.500, 0.500, 0.000], [0.500, 0.000, 0.500], [0.000, 0.000, 0.500], [0.000, 0.500, 0.000], [0.000, 0.500, 0.500]], "ef_ev_per_atom": 0.02, "mass_density_g_cm3": 8.49}

***

Copy entry 1 word for word.
{"formula": "Tb3Pm6Er2Tl", "functional": "PBE", "state": "optimized geometry", "lattice_angstrom": [[-1.082, -5.265, 3.101], [4.409, 3.911, 1.940], [-8.897, 5.943, 4.887]], "species": ["Pm", "Pm", "Pm", "Pm", "Pm", "Pm", "Tb", "Tb", "Tb", "Er", "Er", "Tl"], "frac_coords": [[0.590, 0.919, 0.753], [0.081, 0.410, 0.247], [0.753, 0.753, 0.248], [0.247, 0.247, 0.752], [0.919, 0.590, 0.753], [0.410, 0.081, 0.247], [0.500, 0.500, 0.500], [0.168, 0.832, 0.500], [0.832, 0.168, 0.500], [0.666, 0.334, 0.000], [0.334, 0.666, 0.000], [0.000, 0.000, 0.000]], "ef_ev_per_atom": -0.01, "mass_density_g_cm3": 8.13}